Cs2Rb2Hg: optimized geometry, PBE.

Cell lengths 7.561, 7.561, 7.327 Å; angles 90.00, 90.00, 90.00 degrees
Fractional positions:
Cs 0.000 0.500 0.000
Cs 0.500 0.000 0.000
Rb 0.000 0.000 0.500
Rb 0.500 0.500 0.500
Hg 0.000 0.000 0.000

Values from the calculation:
size of the total moment = 0.00 μB/cell
energy relative to the lowest polymorph listed for this composition = 16 meV per atom